The following is a GGA-PBE calculation of an optimized crystal structure of LaReCl, from the Alexandria database.

Structure (POSCAR):
```
LaReCl
1.0
-0.101 1.319 3.190
-1.336 -3.124 -0.620
6.527 -3.085 1.481
Re Cl La
1 1 1
Direct
0.333 0.667 0.632 Re
0.000 0.000 0.038 Cl
0.667 0.333 0.330 La
```

Results
V, A^3/atom: 25.4
E above lowest polymorph, meV/atom: 170
Space group: No. 156
Formation energy from raw total energies, eV/f.u.: 1.24


The following is a GGA-PBE calculation of an optimized crystal structure of LaTl2ReCl, from the Alexandria database.

Structure (POSCAR):
```
LaTl2ReCl
1.0
6.324 0.000 0.000
0.000 5.349 0.000
0.000 0.000 6.324
Re Tl Cl La
1 2 1 1
Direct
0.500 0.500 0.500 Re
0.000 0.000 0.500 Tl
0.500 0.000 0.000 Tl
0.000 0.500 0.000 Cl
0.000 0.000 0.000 La
```

Results
V, A^3/atom: 42.8
Space group: No. 123
Formation energy from raw total energies, eV/f.u.: 5.47


The following is a GGA-PBE calculation of an optimized crystal structure of LaReWCl2, from the Alexandria database.

Structure (POSCAR):
```
LaReWCl2
1.0
4.799 0.000 0.000
0.000 5.017 0.000
0.000 0.000 4.799
Re Cl W La
1 2 1 1
Direct
0.000 0.000 0.000 Re
0.000 0.000 0.500 Cl
0.500 0.000 0.000 Cl
0.000 0.500 0.000 W
0.500 0.500 0.500 La
```

Results
V, A^3/atom: 23.1
Space group: No. 123
Formation energy from raw total energies, eV/f.u.: 3.18


The following is a GGA-PBE calculation of an optimized crystal structure of LaRe2WCl, from the Alexandria database.

Structure (POSCAR):
```
LaRe2WCl
1.0
4.723 0.000 0.000
0.000 6.144 0.000
0.000 0.000 4.723
Re Cl W La
2 1 1 1
Direct
0.000 0.000 0.500 Re
0.500 0.000 0.000 Re
0.500 0.500 0.500 Cl
0.000 0.000 0.000 W
0.000 0.500 0.000 La
```

Results
V, A^3/atom: 27.4
Space group: No. 123
Formation energy from raw total energies, eV/f.u.: 6.42


The following is a GGA-PBE calculation of an optimized crystal structure of LaZr2ReCl, from the Alexandria database.

Structure (POSCAR):
```
LaZr2ReCl
1.0
5.338 0.000 0.000
0.000 4.975 0.000
0.000 0.000 5.338
Re Cl Zr La
1 1 2 1
Direct
0.500 0.500 0.500 Re
0.000 0.500 0.000 Cl
0.000 0.000 0.500 Zr
0.500 0.000 0.000 Zr
0.000 0.000 0.000 La
```

Results
V, A^3/atom: 28.4
Space group: No. 123
Formation energy from raw total energies, eV/f.u.: 9.59


The following is a GGA-PBE calculation of an optimized crystal structure of LaRhCl2, from the Alexandria database.

Structure (POSCAR):
```
LaRhCl2
1.0
-1.459 3.661 -0.286
-0.014 -0.313 -3.939
-5.664 -2.242 0.199
Cl Rh La
2 1 1
Direct
0.000 0.000 0.968 Cl
0.500 0.500 0.319 Cl
0.500 0.500 0.701 Rh
0.000 0.000 0.512 La
```

Results
V, A^3/atom: 23.8
E above lowest polymorph, meV/atom: 206
Space group: No. 99
Formation energy from raw total energies, eV/f.u.: -4.63